# 1
Density functional theory data (PBE) for a geometry-optimized ReB2 structure.

Unit cell a=4.202 b=4.202 c=4.202 alpha=60.00 beta=60.00 gamma=60.00
Positions (direct):
Re1 0.125 0.125 0.125
Re2 0.875 0.875 0.875
B1 0.000 0.500 0.500
B2 0.500 0.000 0.500
B3 0.500 0.500 0.000
B4 0.500 0.500 0.500

mass density: 13.2 g/cm³
symmetry: Fd-3m (227)
VASP energy: -7.824 eV per atom
crystal system: cubic



# 2
Density functional theory data (PBE) for a geometry-optimized PrIn6Ni3 structure.

Unit cell a=4.382 b=7.637 c=12.191 alpha=90.00 beta=90.00 gamma=90.00
Positions (direct):
Pr1 0.250 0.250 0.178
Pr2 0.750 0.750 0.822
In1 0.250 0.050 0.916
In2 0.250 0.250 0.488
In3 0.250 0.450 0.916
In4 0.250 0.544 0.662
In5 0.250 0.750 0.249
In6 0.250 0.956 0.662
In7 0.750 0.044 0.338
In8 0.750 0.250 0.751
In9 0.750 0.456 0.338
In10 0.750 0.550 0.084
In11 0.750 0.750 0.512
In12 0.750 0.950 0.084
Ni1 0.250 0.576 0.434
Ni2 0.250 0.750 0.034
Ni3 0.250 0.924 0.434
Ni4 0.750 0.076 0.566
Ni5 0.750 0.250 0.966
Ni6 0.750 0.424 0.566

mass density: 8.2 g/cm³
symmetry: Pmmn (59)
VASP energy: -4.086 eV per atom
crystal system: orthorhombic



# 3
Density functional theory data (PBE) for a geometry-optimized MgTe2AuO6 structure.

Unit cell a=5.000 b=5.000 c=13.240 alpha=93.25 beta=93.25 gamma=68.83
Positions (direct):
Mg1 0.009 0.991 0.750
Mg2 0.991 0.009 0.250
Te1 0.339 0.353 0.386
Te2 0.353 0.339 0.886
Te3 0.647 0.661 0.114
Te4 0.661 0.647 0.614
Au1 0.000 0.000 0.000
Au2 0.000 0.000 0.500
O1 0.236 0.252 0.260
O2 0.239 0.757 0.126
O3 0.243 0.761 0.374
O4 0.252 0.236 0.760
O5 0.252 0.746 0.625
O6 0.254 0.748 0.875
O7 0.746 0.252 0.125
O8 0.748 0.254 0.375
O9 0.748 0.764 0.240
O10 0.757 0.239 0.626
O11 0.761 0.243 0.874
O12 0.764 0.748 0.740

mass density: 6.2 g/cm³
symmetry: C2/c (15)
VASP energy: -5.135 eV per atom
crystal system: monoclinic